# MgTePbN2 (PBEsol, relaxed)
# * size of the total moment: 3.9 μB per cell
# * energy relative to the elements, uncorrected: 1.074 eV/atom
# * volume: 106 Å³/cell
data_MgTePbN2
_chemical_formula_sum 'Mg1 Te1 Pb1 N2'
_symmetry_space_group_name_H-M 'P 4/m m m'
_symmetry_Int_Tables_number 123
_symmetry_space_group_name_Hall '-P 4 2'
_cell_length_a 4.347
_cell_length_b 4.347
_cell_length_c 5.601
_cell_angle_alpha 90.00
_cell_angle_beta 90.00
_cell_angle_gamma 90.00
loop_
_atom_site_label
_atom_site_fract_x
_atom_site_fract_y
_atom_site_fract_z
Mg1 0.000 0.000 0.000
Te1 0.000 0.000 0.500
Pb1 0.500 0.500 0.500
N1 0.000 0.500 0.000

=====

# Mg3PdN (PBEsol, relaxed)
# * size of the total moment: 1.7 μB per cell
# * energy relative to the elements, uncorrected: 0.844 eV/atom
# * volume: 117 Å³/cell
data_Mg3PdN
_chemical_formula_sum 'Mg3 Pd1 N1'
_symmetry_space_group_name_H-M 'P m -3 m'
_symmetry_Int_Tables_number 221
_symmetry_space_group_name_Hall '-P 4 2 3'
_cell_length_a 4.884
_cell_length_b 4.884
_cell_length_c 4.884
_cell_angle_alpha 90.00
_cell_angle_beta 90.00
_cell_angle_gamma 90.00
loop_
_atom_site_label
_atom_site_fract_x
_atom_site_fract_y
_atom_site_fract_z
Mg1 0.000 0.000 0.500
Pd1 0.000 0.000 0.000
N1 0.500 0.500 0.500

=====

# MgPdSN2 (PBEsol, relaxed)
# * size of the total moment: 2.4 μB per cell
# * energy relative to the elements, uncorrected: 1.418 eV/atom
# * volume: 72 Å³/cell
data_MgPdSN2
_chemical_formula_sum 'Mg1 Pd1 S1 N2'
_symmetry_space_group_name_H-M 'P 4/m m m'
_symmetry_Int_Tables_number 123
_symmetry_space_group_name_Hall '-P 4 2'
_cell_length_a 3.829
_cell_length_b 3.829
_cell_length_c 4.941
_cell_angle_alpha 90.00
_cell_angle_beta 90.00
_cell_angle_gamma 90.00
loop_
_atom_site_label
_atom_site_fract_x
_atom_site_fract_y
_atom_site_fract_z
Mg1 0.000 0.000 0.000
Pd1 0.500 0.500 0.500
S1 0.000 0.000 0.500
N1 0.000 0.500 0.000

=====

# MgTePdN2 (PBEsol, relaxed)
# * size of the total moment: 3.1 μB per cell
# * energy relative to the elements, uncorrected: 0.976 eV/atom
# * volume: 89 Å³/cell
data_MgTePdN2
_chemical_formula_sum 'Mg1 Te1 Pd1 N2'
_symmetry_space_group_name_H-M 'P 4/m m m'
_symmetry_Int_Tables_number 123
_symmetry_space_group_name_Hall '-P 4 2'
_cell_length_a 3.994
_cell_length_b 3.994
_cell_length_c 5.571
_cell_angle_alpha 90.00
_cell_angle_beta 90.00
_cell_angle_gamma 90.00
loop_
_atom_site_label
_atom_site_fract_x
_atom_site_fract_y
_atom_site_fract_z
Mg1 0.000 0.000 0.000
Te1 0.500 0.500 0.000
Pd1 0.500 0.500 0.500
N1 0.000 0.500 0.500